In5NiPd4 (PBE-GGA, relaxed); E_form = -0.4087 eV per atom; symmetry = P4/mmm
1.0
3.2853 0.0000 0.0000
0.0000 3.2853 0.0000
0.0000 0.0000 16.3083
In Ni Pd
5 1 4
Direct
0.0000 0.0000 0.0000
0.0000 0.0000 0.2037
0.0000 0.0000 0.4072
0.0000 0.0000 0.5928
0.0000 0.0000 0.7963
0.5000 0.5000 0.5000
0.5000 0.5000 0.1023
0.5000 0.5000 0.3064
0.5000 0.5000 0.6936
0.5000 0.5000 0.8977